No. 1
RhWSN2 | PBEsol | relaxed

a = 3.757 Å, b = 3.757 Å, c = 4.663 Å
α = 90.00°, β = 90.00°, γ = 90.00°
Fractional positions:
Rh  0.000  0.000  0.000
W  0.500  0.500  0.500
S  0.000  0.000  0.500
N  0.000  0.500  0.000
N  0.500  0.000  0.000

Output
SG: No. 123
Energy relative to the elements, uncorrected in eV per atom: 1.46
M_tot in Bohr magnetons per cell: 1.8



No. 2
Li3CuI | PBEsol | relaxed

a = 4.814 Å, b = 4.814 Å, c = 4.814 Å
α = 90.00°, β = 90.00°, γ = 90.00°
Fractional positions:
Li  0.000  0.000  0.500
Li  0.000  0.500  0.000
Li  0.500  0.000  0.000
Cu  0.000  0.000  0.000
I  0.500  0.500  0.500

Output
SG: No. 221
Energy relative to the elements, uncorrected in eV per atom: -0.08
M_tot in Bohr magnetons per cell: 0.0



No. 3
Co2BiS2 | PBEsol | relaxed

a = 5.274 Å, b = 5.274 Å, c = 5.274 Å
α = 133.45°, β = 133.45°, γ = 67.95°
Fractional positions:
Co  0.154  0.154  0.000
Co  0.846  0.846  0.000
Bi  0.500  0.500  0.000
S  0.250  0.750  0.500
S  0.750  0.250  0.500

Output
SG: No. 139
Energy relative to the elements, uncorrected in eV per atom: 0.00
M_tot in Bohr magnetons per cell: 0.0



Q: What is the formula in the first record?
A: RhWSN2